PmTm3In (GGA-PBE, optimized geometry); magnetization = 0.00 μB per cell; ΔE to the lowest computed polymorph = 0 meV/atom; total energy = -4.35 eV/atom; density of states at the Fermi level = 1.328 states/eV per atom; energy of formation from the pure elements = -170 meV per atom
1.0
2.4078 -12.5282 0.0000
2.4078 12.5282 0.0000
0.0000 0.0000 4.7980
Pm Tm In
2 6 2
Cartesian
2.4078 8.8227 3.5985
2.4078 -8.8227 1.1995
2.4078 11.3518 1.1995
2.4078 6.2567 1.1995
2.4078 1.2870 1.1995
2.4078 -1.2870 3.5985
2.4078 -6.2567 3.5985
2.4078 -11.3518 3.5985
2.4078 3.8356 3.5985
2.4078 -3.8356 1.1995